(1)
NaDy2Tl | GGA-PBE | relaxed

As for the energy of formation from the pure elements: 0.1 eV/f.u. The calculation puts the total energy at -12.8 eV per formula unit. The calculation puts the energy above the most stable polymorph in this dataset at 0.24 eV per formula unit. The value obtained for the total magnetic moment is 0.000 μB per formula unit.

abc: 3.6497 3.6497 9.1486
angles: 90.00 90.00 90.00
Sites, in units of the cell vectors:
Na 0.0000 0.0000 0.0000
Dy 0.5000 0.5000 0.2845
Dy 0.5000 0.5000 0.7155
Tl 0.0000 0.0000 0.5000

=====

(2)
RbNa2HgP | GGA-PBE | relaxed

As for the energy of formation from the pure elements: -0.9 eV/f.u. The calculation puts the total energy at -10.2 eV per formula unit. The value obtained for the total magnetic moment is 0.000 μB per formula unit.

abc: 5.4932 5.4932 6.6501
angles: 90.00 90.00 90.00
Sites, in units of the cell vectors:
Rb 0.0000 0.0000 0.0000
Na 0.0000 0.5000 0.5000
Na 0.5000 0.0000 0.5000
Hg 0.5000 0.5000 0.0000
P 0.0000 0.0000 0.5000

=====

(3)
Cs3HfSi | GGA-PBE | relaxed

The calculation puts the total energy at -11.2 eV per formula unit. The calculation puts the uncorrected formation energy at 1352 meV/atom. The value obtained for the total magnetic moment is 1.000 μB per formula unit.

abc: 7.0950 7.0950 7.0950
angles: 90.00 90.00 90.00
Sites, in units of the cell vectors:
Cs 0.0000 0.0000 0.5000
Cs 0.0000 0.5000 0.0000
Cs 0.5000 0.0000 0.0000
Hf 0.5000 0.5000 0.5000
Si 0.0000 0.0000 0.0000

=====

(4)
Rb2SrPdF6 | GGA-PBE | relaxed

The calculation puts the total energy at -46.1 eV per formula unit. The calculation puts the energy above the most stable polymorph in this dataset at 0.00 eV per formula unit. The calculation puts the uncorrected formation energy at -2602 meV/atom. The value obtained for the total magnetic moment is 2.000 μB per formula unit.

abc: 6.4774 6.4774 6.4774
angles: 60.00 60.00 60.00
Sites, in units of the cell vectors:
Rb 0.2500 0.2500 0.2500
Rb 0.7500 0.7500 0.7500
Sr 0.0000 0.0000 0.0000
Pd 0.5000 0.5000 0.5000
F 0.2595 0.2595 0.7405
F 0.2595 0.7405 0.2595
F 0.2595 0.7405 0.7405
F 0.7405 0.2595 0.2595
F 0.7405 0.2595 0.7405
F 0.7405 0.7405 0.2595

=====

(5)
CsPtPb4 | GGA-PBE | relaxed

As for the energy of formation from the pure elements: -1.0 eV/f.u. The calculation puts the total energy at -22.8 eV per formula unit. The calculation puts the energy above the most stable polymorph in this dataset at 0.35 eV per formula unit. The value obtained for the total magnetic moment is 0.000 μB per formula unit.

abc: 10.6256 10.6256 6.5385
angles: 107.81 107.81 37.69
Sites, in units of the cell vectors:
Cs 0.2499 0.7501 0.7500
Cs 0.7501 0.2499 0.2500
Pt 0.0000 0.5000 0.5000
Pt 0.5000 0.0000 0.0000
Pb 0.1025 0.2263 0.7269
Pb 0.2263 0.1025 0.2269
Pb 0.2737 0.3971 0.8973
Pb 0.3971 0.2737 0.3973
Pb 0.6029 0.7263 0.6027
Pb 0.7263 0.6029 0.1027
Pb 0.7737 0.8975 0.7731
Pb 0.8975 0.7737 0.2731

=====

(6)
AlTl2Zn | GGA-PBE | relaxed

As for the energy of formation from the pure elements: 1.3 eV/f.u. The calculation puts the total energy at -8.4 eV per formula unit. The value obtained for the total magnetic moment is 0.000 μB per formula unit.

abc: 10.9786 10.9786 10.9786
angles: 156.89 156.89 32.91
Sites, in units of the cell vectors:
Al 0.0000 0.0000 0.0000
Al 0.7500 0.2500 0.5000
Tl 0.1263 0.6250 0.0013
Tl 0.3750 0.3763 0.5013
Tl 0.6237 0.1250 0.9987
Tl 0.8750 0.8737 0.4987
Zn 0.2500 0.7500 0.5000
Zn 0.5000 0.5000 0.0000

=====

(7)
Pm6PdSe2S3 | GGA-PBE | relaxed

The calculation puts the total energy at -74.0 eV per formula unit. The calculation puts the uncorrected formation energy at -1742 meV/atom. The value obtained for the total magnetic moment is 0.000 μB per formula unit.

abc: 9.2437 9.2437 8.3182
angles: 103.08 103.08 25.39
Sites, in units of the cell vectors:
Pm 0.0027 0.0027 0.2499
Pm 0.3295 0.3295 0.4240
Pm 0.3372 0.3372 0.9063
Pm 0.6628 0.6628 0.0937
Pm 0.6705 0.6705 0.5760
Pm 0.9973 0.9973 0.7501
Pd 0.5000 0.5000 0.5000
Se 0.1673 0.1673 0.8357
Se 0.8327 0.8327 0.1643
S 0.1673 0.1673 0.3344
S 0.5000 0.5000 0.0000
S 0.8327 0.8327 0.6656

=====

(8)
Ca2PaInSe6 | GGA-PBE | relaxed

The calculation puts the total energy at -48.5 eV per formula unit. The calculation puts the uncorrected formation energy at -1133 meV/atom. The value obtained for the total magnetic moment is 0.000 μB per formula unit.

abc: 7.4207 7.4207 5.8892
angles: 90.00 90.00 90.00
Sites, in units of the cell vectors:
Ca 0.0000 0.5000 0.0000
Ca 0.5000 0.0000 0.0000
Pa 0.0000 0.0000 0.6798
In 0.5000 0.5000 0.5916
Se 0.0000 0.0000 0.2136
Se 0.2553 0.2553 0.7535
Se 0.2553 0.7447 0.7535
Se 0.5000 0.5000 0.1714
Se 0.7447 0.2553 0.7535
Se 0.7447 0.7447 0.7535